No. 1
The following is a DFT calculation (PBE) of a relaxed structure of Pr3DyHoEr.

Cell: 3.6219 10.8802 10.8389 Å, 109.48 90.00 90.00°
Last column: nearest neighbours and their distance in Å.
Positions (direct):
Pr 0.7500 0.8745 0.0457  1 Er 3.57, 2 Ho 3.59, 3 Dy 3.59-3.71, 6 Pr 3.62-3.68
Pr 0.2500 0.1255 0.9543  1 Er 3.57, 2 Ho 3.59, 3 Dy 3.59-3.71, 6 Pr 3.62-3.68
Pr 0.2500 0.6303 0.4578  1 Ho 3.59, 2 Er 3.59, 2 Dy 3.60, 7 Pr 3.62-3.73
Pr 0.7500 0.3697 0.5422  1 Ho 3.59, 2 Er 3.59, 2 Dy 3.60, 7 Pr 3.62-3.73
Pr 0.7500 0.3754 0.2063  3 Ho 3.59-3.62, 7 Pr 3.62-3.66, 2 Dy 3.70
Pr 0.2500 0.6246 0.7937  3 Ho 3.59-3.62, 7 Pr 3.62-3.66, 2 Dy 3.70
Dy 0.2500 0.1206 0.2948  3 Er 3.55-3.56, 7 Pr 3.59-3.71, 2 Dy 3.62
Dy 0.7500 0.8794 0.7052  3 Er 3.55-3.56, 7 Pr 3.59-3.71, 2 Dy 3.62
Ho 0.2500 0.6263 0.1257  6 Pr 3.59-3.62, 4 Ho 3.62-3.64, 2 Er 3.63
Ho 0.7500 0.3737 0.8743  6 Pr 3.59-3.62, 4 Ho 3.62-3.64, 2 Er 3.63
Er 0.2500 0.1223 0.6238  3 Dy 3.55-3.56, 3 Pr 3.57-3.59, 4 Er 3.58-3.62, 2 Ho 3.63
Er 0.7500 0.8777 0.3762  3 Dy 3.55-3.56, 3 Pr 3.57-3.59, 4 Er 3.58-3.62, 2 Ho 3.63

E: -4.660 eV/atom
V: 201 Å³/f.u.
space group: P2_1/m, No. 11
energy of formation from the pure elements: 0.1 eV/f.u.

---

No. 2
The following is a DFT calculation (PBE) of a relaxed structure of HfAl3Sn.

Cell: 5.0773 5.0773 5.0773 Å, 90.00 90.00 90.00°
Last column: nearest neighbours and their distance in Å.
Positions (direct):
Hf 0.5000 0.5000 0.5000  12 Al 3.59
Sn 0.0000 0.0000 0.0000  6 Al 2.54
Al 0.0000 0.5000 0.0000  2 Sn 2.54
Al 0.0000 0.0000 0.5000  2 Sn 2.54
Al 0.5000 0.0000 0.0000  2 Sn 2.54

E: -3.908 eV/atom
V: 131 Å³/f.u.
space group: Pm-3m, No. 221
ΔE to the lowest computed polymorph: 273.9 meV per atom
energy of formation from the pure elements: 5.6 eV/f.u.

---

No. 3
The following is a DFT calculation (PBE) of a relaxed structure of CuHgOs2.

Cell: 5.0531 5.0531 2.8093 Å, 90.00 90.00 118.71°
Last column: nearest neighbours and their distance in Å.
Positions (direct):
Cu 0.5000 0.0000 0.5000  2 Hg 2.58, 2 Cu 2.81
Hg 0.0000 0.5000 0.5000  2 Cu 2.58, 2 Hg 2.81
Os 0.0000 0.0000 0.0000  4 Os 2.58-2.81
Os 0.5000 0.5000 0.0000  4 Os 2.58-2.81

E: -5.751 eV/atom
V: 63 Å³/f.u.
space group: Cmmm, No. 65
energy of formation from the pure elements: 3.9 eV/f.u.

---

No. 4
The following is a DFT calculation (PBE) of a relaxed structure of MnCoRh6.

Cell: 3.8148 5.3691 5.3691 Å, 90.00 90.00 90.00°
Last column: nearest neighbours and their distance in Å.
Positions (direct):
Mn 0.5000 0.0000 0.0000  12 Rh 2.68-2.70
Co 0.5000 0.5000 0.5000  12 Rh 2.68
Rh 0.0000 0.7477 0.2523  8 Rh 2.66-2.71, 2 Co 2.68, 2 Mn 2.70
Rh 0.0000 0.2523 0.7477  8 Rh 2.66-2.71, 2 Co 2.68, 2 Mn 2.70
Rh 0.0000 0.7481 0.7481  8 Rh 2.66-2.71, 2 Co 2.68, 2 Mn 2.70
Rh 0.0000 0.2519 0.2519  8 Rh 2.66-2.71, 2 Co 2.68, 2 Mn 2.70
Rh 0.5000 0.5000 0.0000  2 Mn 2.68, 2 Co 2.68, 8 Rh 2.69
Rh 0.5000 0.0000 0.5000  2 Co 2.68, 2 Mn 2.68, 8 Rh 2.69

E: -7.561 eV/atom
V: 110 Å³/f.u.
space group: P4/mmm, No. 123
energy of formation from the pure elements: -0.1 eV/f.u.

---

No. 5
The following is a DFT calculation (PBE) of a relaxed structure of BaZrGeSe2.

Cell: 5.3049 5.6199 5.3049 Å, 90.00 90.00 90.00°
Last column: nearest neighbours and their distance in Å.
Positions (direct):
Ge 0.0000 0.0000 0.0000  4 Se 2.65, 2 Ba 2.81
Se 0.0000 0.0000 0.5000  2 Ge 2.65
Se 0.5000 0.0000 0.0000  2 Ge 2.65
Ba 0.0000 0.5000 0.0000  2 Ge 2.81
Zr 0.5000 0.5000 0.5000  4 Ba 3.75, 8 Se 3.86

E: -3.993 eV/atom
V: 158 Å³/f.u.
space group: P4/mmm, No. 123
energy relative to the elements, uncorrected: 0.42 eV/atom

---

No. 6
The following is a DFT calculation (PBE) of a relaxed structure of MgReOs.

Cell: 2.8092 2.8092 6.9053 Å, 90.00 90.00 120.00°
Last column: nearest neighbours and their distance in Å.
Positions (direct):
Mg 0.0000 0.0000 0.0035  6 Mg 2.81, 3 Os 2.89, 3 Re 2.95
Os 0.6667 0.3333 0.3497  3 Re 2.62, 6 Os 2.81, 3 Mg 2.89
Re 0.3333 0.6667 0.6468  3 Os 2.62, 6 Re 2.81

E: -8.250 eV/atom
V: 47 Å³/f.u.
space group: P3m1, No. 156
ΔE to the lowest computed polymorph: 57.7 meV per atom
energy of formation from the pure elements: 0.5 eV/f.u.

---

No. 7
The following is a DFT calculation (PBE) of a relaxed structure of ZnNiW.

Cell: 2.6757 4.2973 7.1628 Å, 90.00 94.32 90.00°
Last column: nearest neighbours and their distance in Å.
Positions (direct):
Zn 0.2109 0.2500 0.7712  4 Ni 2.42-2.54, 2 Zn 2.68, 1 W 2.69
Zn 0.7891 0.7500 0.2288  4 Ni 2.42-2.54, 2 Zn 2.68, 1 W 2.69
Ni 0.7776 0.2500 0.0718  4 Zn 2.42-2.54, 4 Ni 2.68-2.70, 1 W 2.68
Ni 0.2224 0.7500 0.9282  4 Zn 2.42-2.54, 4 Ni 2.68-2.70, 1 W 2.68
W 0.3283 0.2500 0.4009  4 W 2.68-2.70, 2 Ni 2.68-2.73, 5 Zn 2.69-2.82
W 0.6717 0.7500 0.5991  4 W 2.68-2.70, 2 Ni 2.68-2.73, 5 Zn 2.69-2.82

E: -6.625 eV/atom
V: 41 Å³/f.u.
space group: P2_1/m, No. 11
ΔE to the lowest computed polymorph: 20.0 meV per atom
energy of formation from the pure elements: 0.1 eV/f.u.

---

No. 8
The following is a DFT calculation (PBE) of a relaxed structure of InRhSe.

Cell: 5.7819 5.7819 5.7819 Å, 146.45 146.34 48.26°
Last column: nearest neighbours and their distance in Å.
Positions (direct):
In 0.9886 0.9886 0.0000  5 Se 2.98-3.30, 4 Rh 3.06
Rh 0.3047 0.3047 0.0000  4 Se 2.58
Se 0.7067 0.7067 0.0000  4 Rh 2.58

E: -4.621 eV/atom
V: 59 Å³/f.u.
space group: Imm2, No. 44
energy relative to the elements, uncorrected: -0.10 eV/atom
ΔE to the lowest computed polymorph: 112.9 meV per atom

---

No. 9
The following is a DFT calculation (PBE) of a relaxed structure of KSnTeI2.

Cell: 6.1877 6.1877 5.8249 Å, 90.00 90.00 90.00°
Last column: nearest neighbours and their distance in Å.
Positions (direct):
I 0.0000 0.5000 0.0000  2 Sn 3.09
I 0.5000 0.0000 0.0000  2 Sn 3.09
K 0.5000 0.5000 0.5000  8 I 4.25, 4 Te 4.38
Te 0.0000 0.0000 0.5000  2 Sn 2.91
Sn 0.0000 0.0000 0.0000  2 Te 2.91, 4 I 3.09

E: -2.832 eV/atom
V: 223 Å³/f.u.
space group: P4/mmm, No. 123
energy relative to the elements, uncorrected: -0.56 eV/atom
ΔE to the lowest computed polymorph: 0.0 meV per atom

---

No. 10
The following is a DFT calculation (PBE) of a relaxed structure of CeY2Hf3N6.

Cell: 3.3160 6.7469 7.5181 Å, 104.09 102.74 90.00°
Last column: nearest neighbours and their distance in Å.
Positions (direct):
Ce 0.5000 0.0000 0.0000  6 N 2.48
Y 0.8328 0.6662 0.6656  6 N 2.43-2.47
Y 0.1672 0.3338 0.3344  6 N 2.43-2.47
Hf 0.5000 0.5000 0.0000  6 N 2.26-2.30
Hf 0.8323 0.1669 0.6646  6 N 2.24-2.30
Hf 0.1677 0.8331 0.3354  6 N 2.24-2.30
N 0.3254 0.9304 0.6509  3 Hf 2.24-2.29, 2 Y 2.46, 1 Ce 2.48
N 0.6618 0.5979 0.3235  3 Hf 2.28-2.30, 3 Y 2.43-2.45
N 0.6746 0.0696 0.3491  3 Hf 2.24-2.29, 2 Y 2.46, 1 Ce 2.48
N 0.9939 0.2700 0.9878  3 Hf 2.26-2.30, 1 Y 2.47, 2 Ce 2.48
N 0.0061 0.7300 0.0122  3 Hf 2.26-2.30, 1 Y 2.47, 2 Ce 2.48
N 0.3382 0.4021 0.6765  3 Hf 2.28-2.30, 3 Y 2.43-2.45

E: -9.966 eV/atom
V: 159 Å³/f.u.
space group: C2/m, No. 12
energy relative to the elements, uncorrected: -1.74 eV/atom

---

No. 11
The following is a DFT calculation (PBE) of a relaxed structure of AcSmHo.

Cell: 6.5526 6.5333 12.0761 Å, 90.00 90.00 122.82°
Last column: nearest neighbours and their distance in Å.
Positions (direct):
Ac 0.8434 0.2623 0.1328  5 Ho 3.63-3.79, 5 Sm 3.67-3.79, 1 Ac 3.86
Ac 0.1566 0.2377 0.8672  5 Ho 3.63-3.79, 5 Sm 3.67-3.80, 1 Ac 3.86
Ac 0.3434 0.7623 0.3672  5 Ho 3.63-3.79, 5 Sm 3.67-3.80, 1 Ac 3.86
Ac 0.6566 0.7377 0.6328  5 Ho 3.63-3.79, 5 Sm 3.67-3.80, 1 Ac 3.86
Sm 0.4888 0.9262 0.8852  4 Ho 3.53-3.66, 1 Sm 3.66, 5 Ac 3.67-3.80
Sm 0.5112 0.5738 0.1148  4 Ho 3.53-3.66, 1 Sm 3.66, 5 Ac 3.67-3.79
Sm 0.9888 0.4262 0.6148  4 Ho 3.53-3.66, 1 Sm 3.66, 5 Ac 3.67-3.80
Sm 0.0112 0.0738 0.3852  4 Ho 3.53-3.66, 1 Sm 3.66, 5 Ac 3.67-3.80
Ho 0.1581 0.9255 0.1166  1 Ho 3.51, 4 Sm 3.53-3.66, 5 Ac 3.63-3.79
Ho 0.8419 0.5745 0.8834  1 Ho 3.51, 4 Sm 3.53-3.66, 5 Ac 3.63-3.79
Ho 0.6581 0.4255 0.3834  1 Ho 3.51, 4 Sm 3.53-3.66, 5 Ac 3.63-3.79
Ho 0.3419 0.0745 0.6166  1 Ho 3.51, 4 Sm 3.53-3.66, 5 Ac 3.63-3.79

E: -4.406 eV/atom
V: 109 Å³/f.u.
space group: P2_1/c, No. 14
ΔE to the lowest computed polymorph: 7.7 meV per atom
energy of formation from the pure elements: 0.2 eV/f.u.

---

No. 12
The following is a DFT calculation (PBE) of a relaxed structure of KRb12Hg7.

Cell: 7.5724 13.4053 13.4053 Å, 116.54 100.85 100.85°
Last column: nearest neighbours and their distance in Å.
Positions (direct):
K 0.0000 0.0000 0.0000  8 Hg 3.66-3.79
Rb 0.2249 0.5369 0.1504  3 Hg 3.89-4.05, 1 Rb 4.34
Rb 0.9254 0.1504 0.6135  3 Hg 3.89-4.05, 1 Rb 4.34
Rb 0.6093 0.7718 0.0794  5 Hg 3.73-3.86
Rb 0.4701 0.0794 0.3076  5 Hg 3.73-3.86
Rb 0.3119 0.3865 0.5369  3 Hg 3.89-4.05, 1 Rb 4.34
Rb 0.1625 0.6924 0.7718  5 Hg 3.73-3.86
Rb 0.8375 0.3076 0.2282  5 Hg 3.73-3.86
Rb 0.6881 0.6135 0.4631  3 Hg 3.89-4.05, 1 Rb 4.34
Rb 0.5299 0.9206 0.6924  5 Hg 3.73-3.86
Rb 0.3907 0.2282 0.9206  5 Hg 3.73-3.86
Rb 0.0746 0.8496 0.3865  3 Hg 3.89-4.05, 1 Rb 4.34
Rb 0.7751 0.4631 0.8496  3 Hg 3.89-4.05, 1 Rb 4.34
Hg 0.1045 0.7836 0.0778  1 K 3.66, 7 Rb 3.73-4.05
Hg 0.9733 0.0778 0.2942  1 K 3.66, 7 Rb 3.73-4.05
Hg 0.6791 0.7058 0.7836  1 K 3.66, 7 Rb 3.73-4.05
Hg 0.5000 0.0000 0.0000  2 K 3.79, 6 Rb 3.84
Hg 0.3209 0.2942 0.2164  1 K 3.66, 7 Rb 3.73-4.05
Hg 0.0267 0.9222 0.7058  1 K 3.66, 7 Rb 3.73-4.05
Hg 0.8955 0.2164 0.9222  1 K 3.66, 7 Rb 3.73-4.05

E: -0.861 eV/atom
V: 1137 Å³/f.u.
space group: R-3, No. 148
energy of formation from the pure elements: -2.4 eV/f.u.

---

No. 13
The following is a DFT calculation (PBE) of a relaxed structure of AlCS2.

Cell: 4.6956 4.6956 6.8111 Å, 69.84 69.84 90.00°
Last column: nearest neighbours and their distance in Å.
Positions (direct):
C 0.5000 0.5000 0.0000  4 S 2.13
C 0.2500 0.7500 0.5000  4 S 2.13
S 0.5842 0.1250 0.2500  2 C 2.13, 2 Al 2.34
S 0.1658 0.6250 0.2500  2 C 2.13, 2 Al 2.34
S 0.3750 0.4158 0.7500  2 C 2.13, 2 Al 2.34
S 0.8750 0.8342 0.7500  2 C 2.13, 2 Al 2.34
Al 0.0000 0.0000 0.0000  4 S 2.34
Al 0.7500 0.2500 0.5000  4 S 2.34

E: -4.529 eV/atom
V: 66 Å³/f.u.
space group: I-42d, No. 122
energy relative to the elements, uncorrected: 0.78 eV/atom
ΔE to the lowest computed polymorph: 261.7 meV per atom